MnHgIr3: optimized geometry, PBE.

Properties
Energy relative to the elements ... 619 kJ/mol of formula units
E above lowest polymorph ... 0 meV per atom

```
data_MnHgIr3
_cell_length_a 4.506
_cell_length_b 4.506
_cell_length_c 4.506
_cell_angle_alpha 90.00
_cell_angle_beta 90.00
_cell_angle_gamma 90.00
_space_group_name_H-M_alt 'P 1'
_space_group_IT_number 1
_space_group_name_Hall 'P 1'
loop_
_atom_site_label
_atom_site_fract_x
_atom_site_fract_y
_atom_site_fract_z
Ir1 0.000 0.500 0.000
Ir2 0.000 0.000 0.500
Ir3 0.500 0.000 0.000
Hg1 0.500 0.500 0.500
Mn1 0.000 0.000 0.000
```